DFT (GGA-PBE) results for crystalline PrMgIrO6 at its relaxed geometry.

Results
Raw formation energy ... -1.79 eV/atom
DFT total energy ... -6.787 eV/atom
Theoretical density ... 6.16 g cm⁻³

Cell lengths 5.2655, 5.2655, 5.0921 Å; angles 90.00, 90.00, 120.00 degrees
Space group P312 (No. 149)
Unique sites:
Pr: 0.0000 0.0000 0.0000 (multiplicity 1)
Mg: 0.3333 0.6667 0.5000 (multiplicity 1)
Ir: 0.6667 0.3333 0.5000 (multiplicity 1)
O: 0.3753 0.0233 0.7131 (multiplicity 6)